1.
The following is a PBE calculation of a relaxed structure of GdHoAgPt, from Alexandria via LeMat-Bulk.

- calculated density (g/cm3) = 11.5
- total DFT energy (no corrections) (eV per atom) = -7.654
- formation enthalpy at 0 K (eV/f.u.) = -3.1

Cell lengths 5.0380, 5.0380, 5.0380 Å; angles 60.00, 60.00, 60.00 degrees
Last column: nearest neighbours and their distance in Å.
Sites, in units of the cell vectors:
Gd 0.0000 0.0000 0.0000  4 Pt 3.09, 4 Ag 3.09
Ho 0.5000 0.5000 0.5000  4 Pt 3.09, 4 Ag 3.09
Ag 0.7500 0.7500 0.7500  4 Gd 3.09, 4 Ho 3.09
Pt 0.2500 0.2500 0.2500  4 Gd 3.09, 4 Ho 3.09



2.
The following is a PBE calculation of a relaxed structure of GdHoAgRu, from Alexandria via LeMat-Bulk.

- calculated density (g/cm3) = 10.1
- total DFT energy (no corrections) (eV per atom) = -8.024
- formation enthalpy at 0 K (eV/f.u.) = -1.3

Cell lengths 4.9731, 4.9731, 4.9731 Å; angles 60.00, 60.00, 60.00 degrees
Last column: nearest neighbours and their distance in Å.
Sites, in units of the cell vectors:
Gd 0.0000 0.0000 0.0000  4 Ru 3.05, 4 Ag 3.05
Ho 0.5000 0.5000 0.5000  4 Ru 3.05, 4 Ag 3.05
Ag 0.2500 0.2500 0.2500  4 Ho 3.05, 4 Gd 3.05
Ru 0.7500 0.7500 0.7500  4 Ho 3.05, 4 Gd 3.05



3.
The following is a PBE calculation of a relaxed structure of GdHoScAg, from Alexandria via LeMat-Bulk.

- calculated density (g/cm3) = 7.6
- total DFT energy (no corrections) (eV per atom) = -6.930
- formation enthalpy at 0 K (eV/f.u.) = 0.1

Cell lengths 5.2708, 5.2708, 5.2708 Å; angles 60.00, 60.00, 60.00 degrees
Last column: nearest neighbours and their distance in Å.
Sites, in units of the cell vectors:
Gd 0.0000 0.0000 0.0000  4 Sc 3.23, 4 Ag 3.23
Ho 0.5000 0.5000 0.5000  4 Ag 3.23, 4 Sc 3.23
Sc 0.2500 0.2500 0.2500  4 Ho 3.23, 4 Gd 3.23
Ag 0.7500 0.7500 0.7500  4 Gd 3.23, 4 Ho 3.23



4.
The following is a PBE calculation of a relaxed structure of GdHoSiAg, from Alexandria via LeMat-Bulk.

- calculated density (g/cm3) = 8.3
- total DFT energy (no corrections) (eV per atom) = -7.186

Cell lengths 5.0541, 5.0541, 5.0541 Å; angles 60.00, 60.00, 60.00 degrees
Last column: nearest neighbours and their distance in Å.
Sites, in units of the cell vectors:
Gd 0.0000 0.0000 0.0000  4 Si 3.10, 4 Ag 3.10
Ho 0.5000 0.5000 0.5000  4 Si 3.10, 4 Ag 3.10
Si 0.7500 0.7500 0.7500  4 Gd 3.10, 4 Ho 3.10
Ag 0.2500 0.2500 0.2500  4 Ho 3.10, 4 Gd 3.10